The following is a DFT calculation (PBE) of a geometry-optimized SmURu structure.

abc: 6.071 6.071 6.071
angles: 146.47 146.47 48.14
Sites, in units of the cell vectors:
Sm1 0.000 0.000 0.000
U1 0.701 0.701 0.000
Ru1 0.297 0.297 0.000

Space group = I4mm (107)
Calculated volume = 68.0 Å³ per cell
E = -8.509 eV/atom